(1)
Compound: YHg2Pb
Source: Alexandria
Functional: GGA-PBEsol
Structure: optimized geometry

```
YHg2Pb
1.0
-2.1294 3.3690 -2.1566
-3.9929 -1.9368 0.9168
2.8125 1.6977 4.6363
Pb Y Hg
1 1 2
Direct
0.5000 0.5000 0.0000
0.0000 0.0000 0.0000
0.7500 0.2500 0.5000
0.2500 0.7500 0.5000
```

Results
As for the crystal system: tetragonal. Its space group is No. 139.

(2)
Compound: YHgPb
Source: Alexandria
Functional: GGA-PBEsol
Structure: optimized geometry

```
YHgPb
1.0
-1.2682 -2.5227 -2.5074
1.7721 -3.5983 2.7239
-4.5312 1.5723 0.7099
Pb Y Hg
1 1 1
Direct
0.7076 0.3333 0.6667
0.3024 0.6667 0.3333
0.9899 0.0000 0.0000
```

Results
As for the crystal system: trigonal. Its space group is No. 156.

(3)
Compound: YHg2Pb
Source: Alexandria
Functional: GGA-PBEsol
Structure: optimized geometry

```
YHg2Pb
1.0
-0.3062 0.6209 -3.6701
2.0580 -3.0398 -0.6860
-5.9170 -3.9659 -0.1774
Pb Y Hg
1 1 2
Direct
0.5000 0.5000 0.0000
0.5000 0.5000 0.5000
0.0000 0.0000 0.7398
0.0000 0.0000 0.2602
```

Results
As for the crystal system: tetragonal. Its space group is No. 123.

(4)
Compound: ZnHgPb2
Source: Alexandria
Functional: GGA-PBEsol
Structure: optimized geometry

```
ZnHgPb2
1.0
-2.7423 -1.5790 1.6338
-0.0722 -2.4989 -2.5363
4.9283 -4.3102 4.1066
Pb Zn Hg
2 1 1
Direct
0.0000 0.0000 0.9679
0.5000 0.5000 0.2942
0.0000 0.0000 0.5297
0.5000 0.5000 0.7082
```

Results
As for the crystal system: tetragonal. For the energy above the most stable polymorph in this dataset, the calculation gives 0.0 meV per atom. Its space group is No. 99.

(5)
Compound: ZnHgPb2
Source: Alexandria
Functional: GGA-PBEsol
Structure: optimized geometry

```
ZnHgPb2
1.0
-2.1036 -2.6931 0.2885
0.8351 -0.2974 3.3129
-6.2500 5.0998 2.0332
Pb Zn Hg
2 1 1
Direct
0.0000 0.0000 0.7773
0.0000 0.0000 0.2227
0.5000 0.5000 0.0000
0.5000 0.5000 0.5000
```

Results
As for the crystal system: tetragonal. For the energy above the most stable polymorph in this dataset, the calculation gives 26.5 meV per atom. Its space group is No. 123.

(6)
Compound: ZnHg2Pb
Source: Alexandria
Functional: GGA-PBEsol
Structure: optimized geometry

```
ZnHg2Pb
1.0
3.2757 0.0000 0.0000
0.0000 3.4661 0.0000
0.0000 0.0000 7.9656
Hg Pb Zn
2 1 1
Direct
0.0000 0.0000 0.9716
0.5000 0.5000 0.2296
0.0000 0.0000 0.5219
0.5000 0.5000 0.7769
```

Results
As for the crystal system: orthorhombic. Its space group is No. 25.

(7)
Compound: ZnHg2Pb
Source: Alexandria
Functional: GGA-PBEsol
Structure: optimized geometry

```
ZnHg2Pb
1.0
3.4192 0.0000 0.0000
1.7096 2.9611 0.0000
1.7096 0.9870 9.1580
Pb Zn Hg
1 1 2
Direct
0.5070 0.5070 0.4791
0.2563 0.2563 0.2311
0.9925 0.9925 0.0224
0.7442 0.7442 0.7674
```

Results
As for the crystal system: trigonal. Its space group is No. 160.

(8)
Compound: ZnHg2Pb
Source: Alexandria
Functional: GGA-PBEsol
Structure: optimized geometry

```
ZnHg2Pb
1.0
3.4327 0.0000 0.0000
0.0000 5.3443 0.0000
-1.7164 -2.6721 5.0246
Hg Pb Zn
2 1 1
Direct
0.9741 0.9741 0.9481
0.7402 0.2402 0.4804
0.5231 0.5231 0.0463
0.2626 0.7626 0.5252
```

Results
As for the crystal system: orthorhombic. Its space group is No. 44.

(9)
Compound: ZnHg2Pb
Source: Alexandria
Functional: GGA-PBEsol
Structure: optimized geometry

```
ZnHg2Pb
1.0
-0.7442 -2.4056 2.3697
-0.6818 -3.2439 -0.9844
8.1680 -3.9017 1.1271
Pb Zn Hg
1 1 2
Direct
0.5000 0.5000 0.5000
0.0000 0.0000 0.0000
0.2623 0.2623 0.2130
0.7377 0.7377 0.7870
```

Results
As for the crystal system: trigonal. Its space group is No. 166.

(10)
Compound: ZnHgPb2
Source: Alexandria
Functional: GGA-PBEsol
Structure: optimized geometry

```
ZnHgPb2
1.0
-3.5928 0.1799 0.7108
-0.5052 -4.3759 -1.4459
2.7499 -1.9850 5.0468
Pb Zn Hg
2 1 1
Direct
0.0437 0.0000 0.9610
0.7134 0.5000 0.3011
0.3012 0.0000 0.4836
0.4417 0.5000 0.7542
```

Results
As for the crystal system: monoclinic. For the energy above the most stable polymorph in this dataset, the calculation gives 14.6 meV per atom. Its space group is No. 6.

(11)
Compound: ZnHg2Pb
Source: Alexandria
Functional: GGA-PBEsol
Structure: optimized geometry

```
ZnHg2Pb
1.0
-0.5838 3.2628 -0.2752
-3.0057 -0.1628 4.4463
5.9151 -0.5749 0.7355
Pb Zn Hg
1 1 2
Direct
0.5000 0.0000 0.0000
0.0000 0.5000 0.0000
0.7211 0.7211 0.4422
0.2789 0.2789 0.5578
```

Results
As for the crystal system: orthorhombic. Its space group is No. 71.

(12)
Compound: ZnHg2Pb
Source: Alexandria
Functional: GGA-PBEsol
Structure: optimized geometry

```
ZnHg2Pb
1.0
3.7329 0.0000 -0.1984
0.0000 4.3028 0.0000
-1.6478 0.0000 5.8193
Hg Pb Zn
2 1 1
Direct
0.2047 0.0000 0.0164
0.7977 0.5000 0.2122
0.4568 0.0000 0.5522
0.0408 0.5000 0.7192
```

Results
As for the crystal system: monoclinic. Its space group is No. 6.

| no. | ΔE_f (kJ/mol of atoms) | magnetization (μB/f.u.) |
| --- | --- | --- |
| 1 | -40.4 | 0.00 |
| 2 | -42.5 | 0.00 |
| 3 | -34.3 | 0.00 |
| 4 | 6.8 | 0.00 |
| 5 | 9.3 | 0.00 |
| 6 | 8.6 | 0.00 |
| 7 | 8.6 | 0.00 |
| 8 | 9.5 | 0.00 |
| 9 | 5.3 | 0.00 |
| 10 | 8.2 | 0.00 |
| 11 | 8.0 | 0.00 |
| 12 | 8.4 | 0.00 |